1.
Material: SrLiTcOs
Method: DFT, PBE-GGA
State: relaxed

abc: 4.646 4.646 4.646
angles: 60.00 60.00 60.00
Element x y z (fractional)
Sr1 0.000 0.000 0.000
Li1 0.250 0.250 0.250
Tc1 0.500 0.500 0.500
Os1 0.750 0.750 0.750

Values from the calculation:
Electronic total energy in eV per formula unit: -22.3
Space-group type: F-43m (216)

***

2.
Material: SrLiTcOs
Method: DFT, PBE-GGA
State: relaxed

abc: 4.608 4.608 4.608
angles: 60.00 60.00 60.00
Element x y z (fractional)
Sr1 0.000 0.000 0.000
Li1 0.250 0.250 0.250
Tc1 0.750 0.750 0.750
Os1 0.500 0.500 0.500

Values from the calculation:
Electronic total energy in eV per formula unit: -22.5
Space-group type: F-43m (216)

***

3.
Material: SrLiTcOs
Method: DFT, PBE-GGA
State: relaxed

abc: 4.724 4.724 4.724
angles: 60.00 60.00 60.00
Element x y z (fractional)
Sr1 0.000 0.000 0.000
Li1 0.500 0.500 0.500
Tc1 0.750 0.750 0.750
Os1 0.250 0.250 0.250

Values from the calculation:
Electronic total energy in eV per formula unit: -19.9
Space-group type: F-43m (216)

***

4.
Material: LiTaOs
Method: DFT, PBE-GGA
State: relaxed

abc: 4.238 4.238 4.238
angles: 60.00 60.00 60.00
Element x y z (fractional)
Li1 0.000 0.000 0.000
Ta1 0.250 0.250 0.250
Os1 0.500 0.500 0.500

Values from the calculation:
Electronic total energy in eV per formula unit: -23.1
Space-group type: F-43m (216)

***

5.
Material: LiTbOs
Method: DFT, PBE-GGA
State: relaxed

abc: 4.287 4.287 4.287
angles: 60.00 60.00 60.00
Element x y z (fractional)
Li1 0.000 0.000 0.000
Tb1 0.250 0.250 0.250
Os1 0.750 0.750 0.750

Values from the calculation:
Electronic total energy in eV per formula unit: -16.2
Space-group type: F-43m (216)

***

6.
Material: LiTe5Os3
Method: DFT, PBE-GGA
State: relaxed

abc: 5.971 5.971 7.801
angles: 90.00 90.00 120.00
Element x y z (fractional)
Li1 0.000 0.000 0.000
Te1 0.000 0.000 0.500
Te2 0.333 0.667 0.242
Te3 0.333 0.667 0.758
Te4 0.667 0.333 0.242
Te5 0.667 0.333 0.758
Os1 0.000 0.500 0.500
Os2 0.500 0.000 0.500
Os3 0.500 0.500 0.500

Values from the calculation:
Electronic total energy in eV per formula unit: -48.6
Space-group type: P6/mmm (191)

***

7.
Material: LiYTeOs
Method: DFT, PBE-GGA
State: relaxed

abc: 4.735 4.735 4.735
angles: 60.00 60.00 60.00
Element x y z (fractional)
Li1 0.000 0.000 0.000
Y1 0.750 0.750 0.750
Te1 0.500 0.500 0.500
Os1 0.250 0.250 0.250

Values from the calculation:
Electronic total energy in eV per formula unit: -22.7
Space-group type: F-43m (216)

***

8.
Material: LiYTeOs
Method: DFT, PBE-GGA
State: relaxed

abc: 4.847 4.847 4.847
angles: 60.00 60.00 60.00
Element x y z (fractional)
Li1 0.000 0.000 0.000
Y1 0.500 0.500 0.500
Te1 0.250 0.250 0.250
Os1 0.750 0.750 0.750

Values from the calculation:
Electronic total energy in eV per formula unit: -22.6
Space-group type: F-43m (216)

***

9.
Material: LiYTeOs
Method: DFT, PBE-GGA
State: relaxed

abc: 4.699 4.699 4.699
angles: 60.00 60.00 60.00
Element x y z (fractional)
Li1 0.000 0.000 0.000
Y1 0.750 0.750 0.750
Te1 0.250 0.250 0.250
Os1 0.500 0.500 0.500

Values from the calculation:
Electronic total energy in eV per formula unit: -23.8
Space-group type: F-43m (216)

***

10.
Material: LiTlOs
Method: DFT, PBE-GGA
State: relaxed

abc: 4.161 4.161 4.161
angles: 60.00 60.00 60.00
Element x y z (fractional)
Li1 0.000 0.000 0.000
Tl1 0.250 0.250 0.250
Os1 0.750 0.750 0.750

Values from the calculation:
Electronic total energy in eV per formula unit: -12.4
Space-group type: F-43m (216)

***

11.
Material: LiTlOs2
Method: DFT, PBE-GGA
State: relaxed

abc: 4.449 4.449 4.449
angles: 60.00 60.00 60.00
Element x y z (fractional)
Li1 0.000 0.000 0.000
Tl1 0.750 0.750 0.750
Os1 0.250 0.250 0.250
Os2 0.500 0.500 0.500

Values from the calculation:
Electronic total energy in eV per formula unit: -24.4
Space-group type: F-43m (216)

***

12.
Material: LiTmOs
Method: DFT, PBE-GGA
State: relaxed

abc: 4.484 4.484 4.484
angles: 60.00 60.00 60.00
Element x y z (fractional)
Li1 0.000 0.000 0.000
Tm1 0.250 0.250 0.250
Os1 0.500 0.500 0.500

Values from the calculation:
Electronic total energy in eV per formula unit: -15.0
Space-group type: F-43m (216)

***

13.
Material: LiTmOs
Method: DFT, PBE-GGA
State: relaxed

abc: 4.235 4.235 4.235
angles: 60.00 60.00 60.00
Element x y z (fractional)
Li1 0.000 0.000 0.000
Tm1 0.250 0.250 0.250
Os1 0.750 0.750 0.750

Values from the calculation:
Electronic total energy in eV per formula unit: -16.1
Space-group type: F-43m (216)

***

14.
Material: Li4Tm2Os
Method: DFT, PBE-GGA
State: relaxed

abc: 5.352 5.352 5.102
angles: 90.00 90.00 90.00
Element x y z (fractional)
Li1 0.228 0.228 0.000
Li2 0.228 0.772 0.000
Li3 0.772 0.228 0.000
Li4 0.772 0.772 0.000
Tm1 0.000 0.500 0.500
Tm2 0.500 0.000 0.500
Os1 0.000 0.000 0.500

Values from the calculation:
Electronic total energy in eV per formula unit: -27.4
Space-group type: P4/mmm (123)

***

15.
Material: LiUOs
Method: DFT, PBE-GGA
State: relaxed

abc: 4.425 4.425 4.425
angles: 60.00 60.00 60.00
Element x y z (fractional)
Li1 0.000 0.000 0.000
U1 0.250 0.250 0.250
Os1 0.500 0.500 0.500

Values from the calculation:
Electronic total energy in eV per formula unit: -21.6
Space-group type: F-43m (216)

***

16.
Material: LiUOs
Method: DFT, PBE-GGA
State: relaxed

abc: 4.395 4.395 4.395
angles: 60.00 60.00 60.00
Element x y z (fractional)
Li1 0.000 0.000 0.000
U1 0.500 0.500 0.500
Os1 0.250 0.250 0.250

Values from the calculation:
Electronic total energy in eV per formula unit: -23.1
Space-group type: F-43m (216)

***

17.
Material: LiOsW2
Method: DFT, PBE-GGA
State: relaxed

abc: 4.355 4.355 4.355
angles: 60.00 60.00 60.00
Element x y z (fractional)
Li1 0.000 0.000 0.000
Os1 0.250 0.250 0.250
W1 0.500 0.500 0.500
W2 0.750 0.750 0.750

Values from the calculation:
Electronic total energy in eV per formula unit: -37.8
Space-group type: F-43m (216)

***

18.
Material: LiY2Os
Method: DFT, PBE-GGA
State: relaxed

abc: 4.901 14.701 6.929
angles: 90.00 90.00 90.00
Element x y z (fractional)
Li1 0.000 0.000 0.000
Li2 0.001 0.333 0.000
Li3 0.499 0.833 0.500
Li4 0.500 0.500 0.500
Li5 0.501 0.167 0.500
Li6 0.999 0.667 0.000
Y1 0.000 0.500 0.250
Y2 0.000 0.500 0.750
Y3 0.001 0.167 0.250
Y4 0.001 0.167 0.750
Y5 0.499 0.667 0.250
Y6 0.499 0.667 0.750
Y7 0.500 0.000 0.250
Y8 0.500 0.000 0.750
Y9 0.501 0.333 0.250
Y10 0.501 0.333 0.750
Y11 0.999 0.833 0.250
Y12 0.999 0.833 0.750
Os1 0.000 0.000 0.500
Os2 0.001 0.333 0.500
Os3 0.499 0.833 0.000
Os4 0.500 0.500 0.000
Os5 0.501 0.167 0.000
Os6 0.999 0.667 0.500

Values from the calculation:
Electronic total energy in eV per formula unit: -26.9
Space-group type: Pnnm (58)

***

19.
Material: LiY2Os
Method: DFT, PBE-GGA
State: relaxed

abc: 7.454 7.293 7.336
angles: 90.00 90.00 90.00
Element x y z (fractional)
Li1 0.015 0.250 0.025
Li2 0.485 0.750 0.525
Li3 0.515 0.250 0.475
Li4 0.985 0.750 0.975
Y1 0.166 0.004 0.340
Y2 0.166 0.496 0.340
Y3 0.334 0.504 0.840
Y4 0.334 0.996 0.840
Y5 0.666 0.004 0.160
Y6 0.666 0.496 0.160
Y7 0.834 0.504 0.660
Y8 0.834 0.996 0.660
Os1 0.133 0.750 0.632
Os2 0.367 0.250 0.132
Os3 0.633 0.750 0.868
Os4 0.867 0.250 0.368

Values from the calculation:
Electronic total energy in eV per formula unit: -26.3
Space-group type: Pnma (62)

***

20.
Material: LiY2Os
Method: DFT, PBE-GGA
State: relaxed

abc: 5.082 5.082 8.129
angles: 90.00 90.00 120.00
Element x y z (fractional)
Li1 0.000 0.000 0.000
Li2 0.000 0.000 0.500
Y1 0.333 0.667 0.082
Y2 0.333 0.667 0.418
Y3 0.667 0.333 0.582
Y4 0.667 0.333 0.918
Os1 0.333 0.667 0.750
Os2 0.667 0.333 0.250

Values from the calculation:
Electronic total energy in eV per formula unit: -24.5
Space-group type: P6_3/mmc (194)

***

21.
Material: LiY2Os
Method: DFT, PBE-GGA
State: relaxed

abc: 3.420 3.420 8.063
angles: 90.00 90.00 90.00
Element x y z (fractional)
Li1 0.000 0.000 0.000
Y1 0.500 0.500 0.295
Y2 0.500 0.500 0.705
Os1 0.000 0.000 0.500

Values from the calculation:
Electronic total energy in eV per formula unit: -26.6
Space-group type: P4/mmm (123)

***

22.
Material: LiY2Os
Method: DFT, PBE-GGA
State: relaxed

abc: 4.903 4.903 4.903
angles: 60.00 60.00 60.00
Element x y z (fractional)
Li1 0.000 0.000 0.000
Y1 0.250 0.250 0.250
Y2 0.750 0.750 0.750
Os1 0.500 0.500 0.500

Values from the calculation:
Electronic total energy in eV per formula unit: -26.9
Space-group type: Fm-3m (225)

***

23.
Material: LiY2Os
Method: DFT, PBE-GGA
State: relaxed

abc: 4.200 4.200 12.795
angles: 90.00 90.00 120.00
Element x y z (fractional)
Li1 0.333 0.667 0.250
Li2 0.667 0.333 0.750
Y1 0.333 0.667 0.620
Y2 0.333 0.667 0.880
Y3 0.667 0.333 0.120
Y4 0.667 0.333 0.380
Os1 0.000 0.000 0.250
Os2 0.000 0.000 0.750

Values from the calculation:
Electronic total energy in eV per formula unit: -25.7
Space-group type: P6_3/mmc (194)

***

24.
Material: LiY2Os
Method: DFT, PBE-GGA
State: relaxed

abc: 4.043 4.043 16.000
angles: 90.00 90.00 120.00
Element x y z (fractional)
Li1 0.333 0.667 0.250
Li2 0.667 0.333 0.750
Y1 0.333 0.667 0.591
Y2 0.333 0.667 0.909
Y3 0.667 0.333 0.091
Y4 0.667 0.333 0.409
Os1 0.000 0.000 0.000
Os2 0.000 0.000 0.500

Values from the calculation:
Electronic total energy in eV per formula unit: -25.6
Space-group type: P6_3/mmc (194)

***

25.
Material: Li2ZnOs
Method: DFT, PBE-GGA
State: relaxed

abc: 4.221 4.221 4.221
angles: 60.00 60.00 60.00
Element x y z (fractional)
Li1 0.000 0.000 0.000
Li2 0.250 0.250 0.250
Zn1 0.500 0.500 0.500
Os1 0.750 0.750 0.750

Values from the calculation:
Electronic total energy in eV per formula unit: -15.1
Space-group type: F-43m (216)

***

26.
Material: LiZnOs2
Method: DFT, PBE-GGA
State: relaxed

abc: 4.230 4.230 4.230
angles: 60.00 60.00 60.00
Element x y z (fractional)
Li1 0.000 0.000 0.000
Zn1 0.750 0.750 0.750
Os1 0.250 0.250 0.250
Os2 0.500 0.500 0.500

Values from the calculation:
Electronic total energy in eV per formula unit: -25.3
Space-group type: F-43m (216)

***

27.
Material: LiP2Pd4
Method: DFT, PBE-GGA
State: relaxed

abc: 6.686 6.686 4.138
angles: 90.00 90.00 143.97
Element x y z (fractional)
Li1 0.000 0.000 0.000
P1 0.415 0.585 0.500
P2 0.585 0.415 0.500
Pd1 0.171 0.829 0.500
Pd2 0.333 0.667 0.000
Pd3 0.667 0.333 0.000
Pd4 0.829 0.171 0.500

Values from the calculation:
Electronic total energy in eV per formula unit: -37.3
Space-group type: Cmmm (65)